# Fe2Ag2MoO6

An optimized crystal structure of Fe2Ag2MoO6 (GGA+U, Alexandria via LeMat-Bulk).

Unit cell a=5.268 b=5.268 c=6.885 alpha=105.15 beta=105.15 gamma=117.38
Last column: magnetic moment on the atom in μB.
Sites, in units of the cell vectors:
Fe1 0.342 0.658 0.500  4.08
Fe2 0.658 0.342 0.500  4.08
Ag1 0.808 0.192 0.000  0.02
Ag2 0.192 0.808 0.000  0.02
Mo1 0.000 0.000 0.500  0.99
O1 0.809 0.809 0.693  0.14
O2 0.122 0.439 0.674  0.10
O3 0.191 0.191 0.307  0.14
O4 0.439 0.122 0.674  0.10
O5 0.878 0.561 0.326  0.10
O6 0.561 0.878 0.326  0.10

Calculated values
Symmetry: C2/m, No. 12
DFT total energy: -5.91 eV per atom